# 1
Crystalline Hf3TlW at its relaxed geometry. Source: Alexandria, functional GGA-PBE.

a = 5.0906 Å, b = 5.0906 Å, c = 5.0906 Å
α = 90.00°, β = 90.00°, γ = 90.00°
Closest atoms and distances in Å follow each position.
Sites, in units of the cell vectors:
Hf  0.0000  0.0000  0.5000  2 W 2.55
Hf  0.0000  0.5000  0.0000  2 W 2.55
Hf  0.5000  0.0000  0.0000  2 W 2.55
Tl  0.5000  0.5000  0.5000  12 Hf 3.60
W  0.0000  0.0000  0.0000  6 Hf 2.55

Distance to the lowest polymorph of the same formula ... 0 meV/atom
VASP energy ... -40.73 eV for the cell shown
Size of the total moment ... 0.00 Bohr magnetons per cell
Energy of formation ... 0.890 eV per atom

***

# 2
Crystalline Li2CaTc2N4 at its relaxed geometry. Source: Alexandria, functional GGA-PBE.

a = 5.6145 Å, b = 5.6145 Å, c = 8.2073 Å
α = 119.34°, β = 119.34°, γ = 33.09°
Closest atoms and distances in Å follow each position.
Sites, in units of the cell vectors:
Li  0.1459  0.1459  0.2443  4 N 2.17-2.24
Li  0.8541  0.8541  0.7557  4 N 2.17-2.24
Ca  0.0000  0.0000  0.5000  6 N 2.45-2.58
Tc  0.3512  0.3512  0.1190  1 N 1.81
Tc  0.6488  0.6488  0.8810  1 N 1.81
N  0.2398  0.2398  0.8212  3 Tc 2.06-2.10, 2 Li 2.24
N  0.4605  0.4605  0.6951  1 Tc 1.81
N  0.5395  0.5395  0.3049  1 Tc 1.81
N  0.7602  0.7602  0.1788  3 Tc 2.06-2.10, 2 Li 2.24

VASP energy ... -63.37 eV for the cell shown
ΔE_f (raw) ... -389 meV per atom
Size of the total moment ... 0.00 Bohr magnetons per cell